1.
{
  "formula": "ZrAs2Br",
  "functional": "GGA-PBEsol",
  "state": "optimized geometry",
  "lattice_angstrom": [[4.079, 0.000, 0.000], [0.000, 4.079, 0.000], [0.000, 0.000, 9.412]],
  "species": ["Zr", "Zr", "As", "As", "As", "As", "Br", "Br"],
  "fractional_positions": [[0.000, 0.000, 0.000], [0.500, 0.500, 0.500], [0.000, 0.000, 0.500], [0.000, 0.500, 0.250], [0.500, 0.000, 0.750], [0.500, 0.500, 0.000], [0.000, 0.500, 0.750], [0.500, 0.000, 0.250]],
  "final_energy_ev_per_atom": -5.375,
  "magmom_total_mub_per_fu": 0.000,
  "n_ef_per_ev_atom": 0.517,
  "crystal_system": "tetragonal",
  "de_polymorph_ev_per_atom": 0.556,
  "spacegroup": "I-4m2, No. 119",
  "e_form_raw_ev_per_atom": -0.08
}

2.
{
  "formula": "Rb3FePb",
  "functional": "GGA-PBEsol",
  "state": "optimized geometry",
  "lattice_angstrom": [[6.935, 0.000, 0.000], [0.000, 6.935, 0.000], [0.000, 0.000, 6.935]],
  "species": ["Rb", "Rb", "Rb", "Fe", "Pb"],
  "fractional_positions": [[0.000, 0.000, 0.500], [0.000, 0.500, 0.000], [0.500, 0.000, 0.000], [0.500, 0.500, 0.500], [0.000, 0.000, 0.000]],
  "final_energy_ev_per_atom": -2.181,
  "magmom_total_mub_per_fu": 3.626,
  "n_ef_per_ev_atom": 2.689,
  "crystal_system": "cubic",
  "spacegroup": "Pm-3m, No. 221",
  "formation_enthalpy_0k_ev_per_atom": 1.03
}

3.
{
  "formula": "In2HgSe",
  "functional": "GGA-PBEsol",
  "state": "optimized geometry",
  "lattice_angstrom": [[5.217, 0.000, 0.000], [0.000, 4.044, 0.000], [-1.837, 0.000, 4.899]],
  "species": ["In", "In", "Hg", "Se"],
  "fractional_positions": [[0.000, 0.000, 0.000], [0.272, 0.500, 0.726], [0.529, 0.000, 0.470], [0.778, 0.500, 0.220]],
  "final_energy_ev_per_atom": -2.769,
  "magmom_total_mub_per_fu": 0.000,
  "n_ef_per_ev_atom": 0.379,
  "crystal_system": "monoclinic",
  "de_polymorph_ev_per_atom": 0.089,
  "spacegroup": "Pm, No. 6",
  "e_form_raw_ev_per_atom": -0.17
}

4.
{
  "formula": "Fe2ReRu",
  "functional": "GGA-PBEsol",
  "state": "optimized geometry",
  "lattice_angstrom": [[3.655, 0.000, 0.000], [0.000, 3.655, 0.000], [0.000, 0.000, 7.298]],
  "species": ["Fe", "Fe", "Fe", "Fe", "Re", "Re", "Ru", "Ru"],
  "fractional_positions": [[0.000, 0.000, 0.000], [0.000, 0.500, 0.250], [0.500, 0.000, 0.750], [0.500, 0.500, 0.500], [0.000, 0.000, 0.500], [0.500, 0.500, 0.000], [0.000, 0.500, 0.750], [0.500, 0.000, 0.250]],
  "final_energy_ev_per_atom": -10.295,
  "magmom_total_mub_per_fu": 0.426,
  "n_ef_per_ev_atom": 1.023,
  "crystal_system": "tetragonal",
  "spacegroup": "I-4m2, No. 119",
  "formation_enthalpy_0k_ev_per_atom": 0.06
}

What did the first record say?
{
  "formula": "ZrAs2Br",
  "functional": "GGA-PBEsol",
  "state": "optimized geometry",
  "lattice_angstrom": [[4.079, 0.000, 0.000], [0.000, 4.079, 0.000], [0.000, 0.000, 9.412]],
  "species": ["Zr", "Zr", "As", "As", "As", "As", "Br", "Br"],
  "fractional_positions": [[0.000, 0.000, 0.000], [0.500, 0.500, 0.500], [0.000, 0.000, 0.500], [0.000, 0.500, 0.250], [0.500, 0.000, 0.750], [0.500, 0.500, 0.000], [0.000, 0.500, 0.750], [0.500, 0.000, 0.250]],
  "final_energy_ev_per_atom": -5.375,
  "magmom_total_mub_per_fu": 0.000,
  "n_ef_per_ev_atom": 0.517,
  "crystal_system": "tetragonal",
  "de_polymorph_ev_per_atom": 0.556,
  "spacegroup": "I-4m2, No. 119",
  "e_form_raw_ev_per_atom": -0.08
}